Entry 1:
The following is a DFT calculation (PBE) of an optimized crystal structure of Y2MgB2Ir5.

Values from the calculation:
Calculated formation energy = -0.680 eV per atom
Symmetry = P4/mbm, No. 127

abc: 3.1232 9.7818 9.7818
angles: 90.00 90.00 90.00
Fractional positions:
1 B 0.0000 0.3784 0.1216
2 B 0.0000 0.1216 0.6216
3 B 0.0000 0.8784 0.3784
4 B 0.0000 0.6216 0.8784
5 Ir 0.5000 0.5000 0.0000
6 Ir 0.5000 0.2758 0.5680
7 Ir 0.5000 0.4320 0.2758
8 Ir 0.5000 0.0680 0.7758
9 Ir 0.5000 0.9320 0.2242
10 Ir 0.5000 0.2242 0.0680
11 Ir 0.5000 0.5680 0.7242
12 Ir 0.5000 0.0000 0.5000
13 Ir 0.5000 0.7758 0.9320
14 Ir 0.5000 0.7242 0.4320
15 Mg 0.0000 0.5000 0.5000
16 Mg 0.0000 0.0000 0.0000
17 Y 0.0000 0.6782 0.1782
18 Y 0.0000 0.8218 0.6782
19 Y 0.0000 0.1782 0.3218
20 Y 0.0000 0.3218 0.8218

***

Entry 2:
The following is a DFT calculation (PBE) of an optimized crystal structure of ZnP2Pd.

Values from the calculation:
Calculated formation energy = 0.020 eV per atom
Symmetry = I-42d, No. 122

abc: 5.4659 5.4659 6.5953
angles: 65.52 65.52 90.00
Fractional positions:
1 P 0.3750 0.3630 0.7500
2 P 0.1130 0.6250 0.2500
3 P 0.6370 0.1250 0.2500
4 P 0.8750 0.8870 0.7500
5 Zn 0.5000 0.5000 0.0000
6 Zn 0.2500 0.7500 0.5000
7 Pd 0.0000 0.0000 0.0000
8 Pd 0.7500 0.2500 0.5000